Compound: CuSbI2N
Source: the Alexandria database
Functional: meta-GGA SCAN
Structure: single point on PBEsol structure

Cell: 4.864 5.426 5.426 Å, 90.00 90.00 90.00°
Site moments in Bohr magnetons follow the coordinates.
Sites, in units of the cell vectors:
1 N 0.500 0.500 0.500  1.88
2 I 0.000 0.000 0.500  0.04
3 Cu 0.000 0.000 0.000  -0.01
4 I 0.000 0.500 0.000  0.04
5 Sb 0.500 0.000 0.000  -0.04

Output
- Raw formation energy: 113.5 kJ/mol of atoms
- E_tot: -129.35 eV per cell
- Crystal system: tetragonal